The following is a PBE calculation of a relaxed structure of Lu3CdC2, from OQMD.

Geometry as POSCAR:
```
Lu3CdC2
1.0
-2.421 2.087 1.458
-0.675 -3.417 -0.461
8.259 -4.317 19.889
C Cd Lu
4 2 6
direct
0.333 0.667 0.070
0.333 0.667 0.430
0.667 0.333 0.570
0.667 0.333 0.930
0.000 0.000 0.250
0.000 0.000 0.750
0.000 0.000 0.000
0.667 0.333 0.121
0.667 0.333 0.379
0.000 0.000 0.500
0.333 0.667 0.621
0.333 0.667 0.879
```

Computed properties:
- Raw total energy: -5.847 eV per atom

=====

The following is a PBE calculation of a relaxed structure of FeHgSbPd, from OQMD.

Geometry as POSCAR:
```
FeHgSbPd
1.0
1.203 0.453 4.485
1.396 4.140 1.634
-2.737 2.399 2.918
Fe Hg Pd Sb
1 1 1 1
direct
0.750 0.750 0.750
0.500 0.500 0.500
0.250 0.250 0.250
0.000 0.000 0.000
```

Computed properties:
- Relative energy among the computed polymorphs: 0.000 eV per atom

=====

The following is a PBE calculation of a relaxed structure of RbEr2, from OQMD.

Geometry as POSCAR:
```
RbEr2
1.0
-2.981 -6.263 1.656
-6.452 -0.188 3.032
-5.614 -2.368 -3.706
Er Rb
4 2
direct
0.625 0.625 0.125
0.625 0.125 0.625
0.125 0.625 0.625
0.625 0.625 0.625
0.000 0.000 0.000
0.250 0.250 0.250
```

Computed properties:
- Relative energy among the computed polymorphs: 0.000 eV per atom

=====

The following is a PBE calculation of a relaxed structure of Gd2AgSe3, from OQMD.

Geometry as POSCAR:
```
Gd2AgSe3
1.0
-9.119 -0.176 5.267
1.517 -2.686 2.536
4.459 10.130 8.059
Ag Gd Se
4 8 12
direct
0.734 0.750 0.231
0.234 0.750 0.269
0.766 0.250 0.731
0.266 0.250 0.769
0.726 0.250 0.023
0.983 0.250 0.247
0.483 0.250 0.253
0.226 0.250 0.477
0.774 0.750 0.523
0.517 0.750 0.747
0.017 0.750 0.753
0.274 0.750 0.977
0.913 0.750 0.099
0.544 0.750 0.103
0.236 0.250 0.138
0.736 0.250 0.362
0.044 0.750 0.397
0.413 0.750 0.401
0.587 0.250 0.599
0.956 0.250 0.603
0.264 0.750 0.638
0.764 0.750 0.862
0.456 0.250 0.897
0.087 0.250 0.901
```

Computed properties:
- Relative energy among the computed polymorphs: 0.000 eV per atom

=====

The following is a PBE calculation of a relaxed structure of Zr4Pd3, from OQMD.

Geometry as POSCAR:
```
Zr4Pd3
1.0
1.703 -7.375 2.655
4.140 -0.957 6.803
-4.105 -0.051 2.491
Pd Zr
6 8
direct
0.143 0.281 0.000
0.290 0.572 0.000
0.852 0.719 0.000
0.380 0.100 0.500
0.672 0.662 0.500
0.234 0.809 0.500
0.531 0.173 0.000
0.745 0.438 0.000
0.429 0.857 0.000
0.010 0.960 0.000
0.993 0.208 0.500
0.514 0.421 0.500
0.095 0.524 0.500
0.779 0.943 0.500
```

Computed properties:
- E_form: -0.4346 eV/atom

=====

The following is a PBE calculation of a relaxed structure of SrHgMo, from OQMD.

Geometry as POSCAR:
```
SrHgMo
1.0
0.000 3.572 3.572
3.572 0.000 3.572
3.572 3.572 0.000
Hg Mo Sr
1 1 1
direct
0.000 0.000 0.000
0.250 0.250 0.250
0.750 0.750 0.750
```

Computed properties:
- Relative energy among the computed polymorphs: 0.000 eV per atom

=====

The following is a PBE calculation of a relaxed structure of DyHoTlFe2, from OQMD.

Geometry as POSCAR:
```
DyHoTlFe2
1.0
-1.998 -2.662 2.112
2.133 3.199 6.050
-1.124 4.899 5.111
Dy Fe Ho Tl
1 2 1 1
direct
0.000 0.361 0.361
0.500 0.209 0.209
0.500 0.790 0.790
0.000 0.640 0.640
0.500 0.000 0.000
```

Computed properties:
- Raw total energy: -5.790 eV per atom

=====

The following is a PBE calculation of a relaxed structure of Y2CoTe4, from OQMD.

Geometry as POSCAR:
```
Y2CoTe4
1.0
0.000 6.106 6.106
6.106 0.000 6.106
6.106 6.106 0.000
Co Te Y
2 8 4
direct
0.500 0.500 0.500
0.750 0.750 0.750
0.377 0.377 0.377
0.869 0.377 0.377
0.377 0.869 0.377
0.873 0.873 0.381
0.377 0.377 0.869
0.873 0.381 0.873
0.381 0.873 0.873
0.873 0.873 0.873
0.125 0.125 0.125
0.625 0.125 0.125
0.125 0.625 0.125
0.125 0.125 0.625
```

Computed properties:
- Raw total energy: -5.528 eV per atom